No. 1
First-principles (PBE-GGA) data for ReHgO3 after structural relaxation, as listed in Alexandria.

Results
Raw formation energy   -0.9482 eV/atom
V   459 Å³/cell

Geometry as CIF:
```
data_ReHgO3
_chemical_formula_sum 'Re4 Hg4 O12'
_cell_length_a 11.863
_cell_length_b 3.202
_cell_length_c 13.349
_cell_angle_alpha 90.00
_cell_angle_beta 115.09
_cell_angle_gamma 90.00
_space_group_name_H-M_alt 'C 1 2/m 1'
_space_group_IT_number 12
_space_group_name_Hall '-C 2y'
loop_
_atom_site_label
_atom_site_fract_x
_atom_site_fract_y
_atom_site_fract_z
Re1 0.227 0.000 0.166
Hg1 0.124 0.000 0.486
O1 0.144 0.000 0.023
O2 0.144 0.000 0.247
O3 0.175 0.000 0.795
```

---

No. 2
First-principles (PBE-GGA) data for CsTl11Hg after structural relaxation, as listed in Alexandria.

Results
V   861 Å³/cell
Calculated formation energy   -0.022 eV per atom

Geometry as CIF:
```
data_CsTl11Hg
_chemical_formula_sum 'Cs2 Tl22 Hg2'
_cell_length_a 6.539
_cell_length_b 16.286
_cell_length_c 8.704
_cell_angle_alpha 90.00
_cell_angle_beta 111.75
_cell_angle_gamma 90.00
_space_group_name_H-M_alt 'C 1 2/m 1'
_space_group_IT_number 12
_space_group_name_Hall '-C 2y'
loop_
_atom_site_label
_atom_site_fract_x
_atom_site_fract_y
_atom_site_fract_z
Cs1 0.000 0.000 0.000
Tl1 0.000 0.000 0.500
Tl2 0.104 0.393 0.219
Tl3 0.179 0.179 0.361
Tl4 0.250 0.250 0.000
Hg1 0.000 0.500 0.500
```

---

Number 1 is which compound? ReHgO3

---

Repeat the first record exactly.
First-principles (PBE-GGA) data for ReHgO3 after structural relaxation, as listed in Alexandria.

Results
Raw formation energy   -0.9482 eV/atom
V   459 Å³/cell

Geometry as CIF:
```
data_ReHgO3
_chemical_formula_sum 'Re4 Hg4 O12'
_cell_length_a 11.863
_cell_length_b 3.202
_cell_length_c 13.349
_cell_angle_alpha 90.00
_cell_angle_beta 115.09
_cell_angle_gamma 90.00
_space_group_name_H-M_alt 'C 1 2/m 1'
_space_group_IT_number 12
_space_group_name_Hall '-C 2y'
loop_
_atom_site_label
_atom_site_fract_x
_atom_site_fract_y
_atom_site_fract_z
Re1 0.227 0.000 0.166
Hg1 0.124 0.000 0.486
O1 0.144 0.000 0.023
O2 0.144 0.000 0.247
O3 0.175 0.000 0.795
```

---

Please write out number 2 again, unchanged.
First-principles (PBE-GGA) data for CsTl11Hg after structural relaxation, as listed in Alexandria.

Results
V   861 Å³/cell
Calculated formation energy   -0.022 eV per atom

Geometry as CIF:
```
data_CsTl11Hg
_chemical_formula_sum 'Cs2 Tl22 Hg2'
_cell_length_a 6.539
_cell_length_b 16.286
_cell_length_c 8.704
_cell_angle_alpha 90.00
_cell_angle_beta 111.75
_cell_angle_gamma 90.00
_space_group_name_H-M_alt 'C 1 2/m 1'
_space_group_IT_number 12
_space_group_name_Hall '-C 2y'
loop_
_atom_site_label
_atom_site_fract_x
_atom_site_fract_y
_atom_site_fract_z
Cs1 0.000 0.000 0.000
Tl1 0.000 0.000 0.500
Tl2 0.104 0.393 0.219
Tl3 0.179 0.179 0.361
Tl4 0.250 0.250 0.000
Hg1 0.000 0.500 0.500
```

---

Which of these has the lowest V? ReHgO3